# 1
The following is a DFT calculation (PBE) of an optimized crystal structure of Ce2CoHgGe.

Cell and atoms, written as CIF:
```
data_Ce2CoHgGe
_cell_length_a 6.924
_cell_length_b 4.509
_cell_length_c 8.235
_cell_angle_alpha 90.00
_cell_angle_beta 114.73
_cell_angle_gamma 90.00
_symmetry_space_group_name_H-M 'P 1 21/m 1'
_symmetry_Int_Tables_number 11
loop_
_symmetry_equiv_pos_as_xyz
'x,y,z'
'-x,-y,-z'
'-x,y+1/2,-z'
'x,-y+1/2,z'
loop_
_atom_site_label
_atom_site_type_symbol
_atom_site_fract_x
_atom_site_fract_y
_atom_site_fract_z
Ce1 Ce 0.161 0.250 0.359
Ce2 Ce 0.317 0.750 0.050
Co1 Co 0.001 0.250 0.942
Hg1 Hg 0.385 0.750 0.665
Ge1 Ge 0.168 0.250 0.739
```

DFT formation energy   -2.1 eV per formula unit
Volume   23.35 Å³ per atom
D(E_F)   20.13 states/eV per cell

# 2
The following is a DFT calculation (PBE) of an optimized crystal structure of Zn5Au6.

Cell and atoms, written as CIF:
```
data_Zn5Au6
_cell_length_a 4.418
_cell_length_b 6.386
_cell_length_c 13.218
_cell_angle_alpha 90.00
_cell_angle_beta 90.00
_cell_angle_gamma 90.00
_symmetry_space_group_name_H-M 'I m m m'
_symmetry_Int_Tables_number 71
_symmetry_space_group_name_Hall '-I 2 2'
loop_
_atom_site_label
_atom_site_type_symbol
_atom_site_fract_x
_atom_site_fract_y
_atom_site_fract_z
Zn1 Zn 0.000 0.000 0.000
Zn2 Zn 0.000 0.000 0.327
Zn3 Zn 0.000 0.500 0.333
Au1 Au 0.000 0.237 0.500
Au2 Au 0.000 0.262 0.157
```

DFT formation energy   -2.0 eV per formula unit
Volume   16.95 Å³ per atom
D(E_F)   7.86 states/eV per cell
Energy above the most stable polymorph in this dataset   0 meV/atom

# 3
The following is a DFT calculation (PBE) of an optimized crystal structure of TbPm6Nd4.

Cell and atoms, written as CIF:
```
data_TbPm6Nd4
_cell_length_a 7.650
_cell_length_b 7.650
_cell_length_c 13.637
_cell_angle_alpha 90.00
_cell_angle_beta 90.00
_cell_angle_gamma 90.00
_symmetry_space_group_name_H-M 'I -4 2 m'
_symmetry_Int_Tables_number 121
_symmetry_space_group_name_Hall 'I -4 2'
loop_
_atom_site_label
_atom_site_type_symbol
_atom_site_fract_x
_atom_site_fract_y
_atom_site_fract_z
Tb1 Tb 0.000 0.000 0.000
Pm1 Pm 0.000 0.500 0.000
Pm2 Pm 0.226 0.226 0.187
Nd1 Nd 0.173 0.173 0.420
```

DFT formation energy   4.1 eV per formula unit
Volume   36.28 Å³ per atom
D(E_F)   25.95 states/eV per cell
Energy above the most stable polymorph in this dataset   94 meV/atom

# 4
The following is a DFT calculation (PBE) of an optimized crystal structure of Pr3Al5Se12.

Cell and atoms, written as CIF:
```
data_Pr3Al5Se12
_cell_length_a 15.987
_cell_length_b 15.987
_cell_length_c 15.987
_cell_angle_alpha 90.00
_cell_angle_beta 90.00
_cell_angle_gamma 90.00
_symmetry_space_group_name_H-M 'I a -3 d'
_symmetry_Int_Tables_number 230
_symmetry_space_group_name_Hall '-I 4bd 2c 3'
loop_
_atom_site_label
_atom_site_type_symbol
_atom_site_fract_x
_atom_site_fract_y
_atom_site_fract_z
Pr1 Pr 0.000 0.250 0.125
Al1 Al 0.000 0.000 0.000
Al2 Al 0.000 0.250 0.375
Se1 Se 0.029 0.057 0.648
```

Formation energy without anion corrections   -1.240 eV/atom
Volume   25.54 Å³ per atom

# 5
The following is a DFT calculation (PBE) of an optimized crystal structure of PrTcGe3Rh.

Cell and atoms, written as CIF:
```
data_PrTcGe3Rh
_cell_length_a 7.713
_cell_length_b 11.428
_cell_length_c 5.838
_cell_angle_alpha 90.00
_cell_angle_beta 90.00
_cell_angle_gamma 90.00
_symmetry_space_group_name_H-M 'C m c m'
_symmetry_Int_Tables_number 63
_symmetry_space_group_name_Hall '-C 2c 2'
loop_
_atom_site_label
_atom_site_type_symbol
_atom_site_fract_x
_atom_site_fract_y
_atom_site_fract_z
Pr1 Pr 0.000 0.245 0.250
Tc1 Tc 0.000 0.452 0.750
Ge1 Ge 0.000 0.249 0.750
Ge2 Ge 0.250 0.000 0.000
Rh1 Rh 0.000 0.047 0.750
```

DFT formation energy   -2.0 eV per formula unit
Volume   21.44 Å³ per atom
D(E_F)   10.89 states/eV per cell

# 6
The following is a DFT calculation (PBE) of an optimized crystal structure of AcAlGa2Ru2.

Cell and atoms, written as CIF:
```
data_AcAlGa2Ru2
_cell_length_a 4.537
_cell_length_b 4.537
_cell_length_c 5.998
_cell_angle_alpha 90.00
_cell_angle_beta 90.00
_cell_angle_gamma 90.00
_symmetry_space_group_name_H-M 'P 4/m m m'
_symmetry_Int_Tables_number 123
_symmetry_space_group_name_Hall '-P 4 2'
loop_
_atom_site_label
_atom_site_type_symbol
_atom_site_fract_x
_atom_site_fract_y
_atom_site_fract_z
Ac1 Ac 0.000 0.000 0.000
Al1 Al 0.000 0.000 0.500
Ga1 Ga 0.500 0.500 0.257
Ru1 Ru 0.000 0.500 0.500
```

DFT formation energy   -1.7 eV per formula unit
Volume   20.57 Å³ per atom
D(E_F)   2.18 states/eV per cell

# 7
The following is a DFT calculation (PBE) of an optimized crystal structure of Ni2AuSe.

Cell and atoms, written as CIF:
```
data_Ni2AuSe
_cell_length_a 3.714
_cell_length_b 3.714
_cell_length_c 8.515
_cell_angle_alpha 90.00
_cell_angle_beta 90.00
_cell_angle_gamma 90.00
_symmetry_space_group_name_H-M 'I -4 m 2'
_symmetry_Int_Tables_number 119
_symmetry_space_group_name_Hall 'I -4 -2'
loop_
_atom_site_label
_atom_site_type_symbol
_atom_site_fract_x
_atom_site_fract_y
_atom_site_fract_z
Ni1 Ni 0.000 0.000 0.000
Ni2 Ni 0.000 0.500 0.250
Au1 Au 0.000 0.000 0.500
Se1 Se 0.000 0.500 0.750
```

Formation energy without anion corrections   0.264 eV/atom
Volume   14.68 Å³ per atom
D(E_F)   8.09 states/eV per cell

# 8
The following is a DFT calculation (PBE) of an optimized crystal structure of LiBiAsO4.

Cell and atoms, written as CIF:
```
data_LiBiAsO4
_cell_length_a 6.317
_cell_length_b 6.875
_cell_length_c 8.940
_cell_angle_alpha 90.00
_cell_angle_beta 90.00
_cell_angle_gamma 90.00
_symmetry_space_group_name_H-M 'I m m a'
_symmetry_Int_Tables_number 74
_symmetry_space_group_name_Hall '-I 2b 2'
loop_
_atom_site_label
_atom_site_type_symbol
_atom_site_fract_x
_atom_site_fract_y
_atom_site_fract_z
Li1 Li 0.000 0.000 0.000
Bi1 Bi 0.250 0.250 0.250
As1 As 0.000 0.250 0.627
O1 O 0.000 0.038 0.739
O2 O 0.228 0.250 0.514
```

Formation energy without anion corrections   -1.293 eV/atom
Volume   13.87 Å³ per atom
D(E_F)   1.30 states/eV per cell

# 9
The following is a DFT calculation (PBE) of an optimized crystal structure of PaGa2Hg.

Cell and atoms, written as CIF:
```
data_PaGa2Hg
_cell_length_a 6.979
_cell_length_b 6.979
_cell_length_c 6.979
_cell_angle_alpha 90.00
_cell_angle_beta 90.00
_cell_angle_gamma 90.00
_symmetry_space_group_name_H-M 'F m -3 m'
_symmetry_Int_Tables_number 225
_symmetry_space_group_name_Hall '-F 4 2 3'
loop_
_atom_site_label
_atom_site_type_symbol
_atom_site_fract_x
_atom_site_fract_y
_atom_site_fract_z
Pa1 Pa 0.000 0.000 0.000
Ga1 Ga 0.250 0.250 0.250
Hg1 Hg 0.000 0.000 0.500
```

DFT formation energy   -0.1 eV per formula unit
Volume   21.25 Å³ per atom
D(E_F)   15.16 states/eV per cell
Energy above the most stable polymorph in this dataset   165 meV/atom

# 10
The following is a DFT calculation (PBE) of an optimized crystal structure of PrHg4Pb.

Cell and atoms, written as CIF:
```
data_PrHg4Pb
_cell_length_a 8.625
_cell_length_b 8.625
_cell_length_c 8.625
_cell_angle_alpha 90.00
_cell_angle_beta 90.00
_cell_angle_gamma 90.00
_symmetry_space_group_name_H-M 'F -4 3 m'
_symmetry_Int_Tables_number 216
_symmetry_space_group_name_Hall 'F -4 2 3'
loop_
_atom_site_label
_atom_site_type_symbol
_atom_site_fract_x
_atom_site_fract_y
_atom_site_fract_z
Pr1 Pr 0.000 0.000 0.000
Hg1 Hg 0.125 0.125 0.625
Pb1 Pb 0.250 0.250 0.250
```

DFT formation energy   -0.8 eV per formula unit
Volume   26.74 Å³ per atom
D(E_F)   9.42 states/eV per cell
Energy above the most stable polymorph in this dataset   123 meV/atom

# 11
The following is a DFT calculation (PBE) of an optimized crystal structure of YMn2Te.

Cell and atoms, written as CIF:
```
data_YMn2Te
_cell_length_a 3.6108
_cell_length_b 3.6108
_cell_length_c 25.0180
_cell_angle_alpha 90.00
_cell_angle_beta 90.00
_cell_angle_gamma 120.00
_symmetry_space_group_name_H-M 'R -3 m'
_symmetry_Int_Tables_number 166
_symmetry_space_group_name_Hall '-R 3 2"'
loop_
_atom_site_label
_atom_site_type_symbol
_atom_site_fract_x
_atom_site_fract_y
_atom_site_fract_z
Y1 Y 0.0000 0.0000 0.0000
Mn1 Mn 0.0000 0.0000 0.2401
Te1 Te 0.0000 0.0000 0.5000
```

Formation energy without anion corrections   0.346 eV/atom
Volume   23.54 Å³ per atom
D(E_F)   13.07 states/eV per cell

# 12
The following is a DFT calculation (PBE) of an optimized crystal structure of VGaN2.

Cell and atoms, written as CIF:
```
data_VGaN2
_cell_length_a 2.8674
_cell_length_b 2.8674
_cell_length_c 18.6340
_cell_angle_alpha 90.00
_cell_angle_beta 90.00
_cell_angle_gamma 120.00
_symmetry_space_group_name_H-M 'R -3 m'
_symmetry_Int_Tables_number 166
_symmetry_space_group_name_Hall '-R 3 2"'
loop_
_atom_site_label
_atom_site_type_symbol
_atom_site_fract_x
_atom_site_fract_y
_atom_site_fract_z
V1 V 0.0000 0.0000 0.0000
Ga1 Ga 0.0000 0.0000 0.5000
N1 N 0.0000 0.0000 0.3925
```

Formation energy without anion corrections   -0.356 eV/atom
Volume   11.06 Å³ per atom
D(E_F)   5.30 states/eV per cell

# 13
The following is a DFT calculation (PBE) of an optimized crystal structure of AlIn2Pt.

Cell and atoms, written as CIF:
```
data_AlIn2Pt
_cell_length_a 3.063
_cell_length_b 4.061
_cell_length_c 6.309
_cell_angle_alpha 90.00
_cell_angle_beta 90.00
_cell_angle_gamma 90.00
_symmetry_space_group_name_H-M 'P m m m'
_symmetry_Int_Tables_number 47
loop_
_symmetry_equiv_pos_as_xyz
'x,y,z'
'-x,-y,-z'
'-x,-y,z'
'x,y,-z'
'x,-y,-z'
'-x,y,z'
'-x,y,-z'
'x,-y,z'
loop_
_atom_site_label
_atom_site_type_symbol
_atom_site_fract_x
_atom_site_fract_y
_atom_site_fract_z
Al1 Al 0.000 0.000 0.000
In1 In 0.500 0.500 0.261
Pt1 Pt 0.000 0.000 0.500
```

DFT formation energy   -0.3 eV per formula unit
Volume   19.62 Å³ per atom
D(E_F)   1.20 states/eV per cell

# 14
The following is a DFT calculation (PBE) of an optimized crystal structure of Ho4Mg3Pb.

Cell and atoms, written as CIF:
```
data_Ho4Mg3Pb
_cell_length_a 3.823
_cell_length_b 3.823
_cell_length_c 14.812
_cell_angle_alpha 90.00
_cell_angle_beta 90.00
_cell_angle_gamma 90.00
_symmetry_space_group_name_H-M 'P 4/m m m'
_symmetry_Int_Tables_number 123
_symmetry_space_group_name_Hall '-P 4 2'
loop_
_atom_site_label
_atom_site_type_symbol
_atom_site_fract_x
_atom_site_fract_y
_atom_site_fract_z
Ho1 Ho 0.000 0.000 0.125
Ho2 Ho 0.000 0.000 0.372
Mg1 Mg 0.500 0.500 0.000
Mg2 Mg 0.500 0.500 0.246
Pb1 Pb 0.500 0.500 0.500
```

DFT formation energy   -1.4 eV per formula unit
Volume   27.06 Å³ per atom
D(E_F)   6.42 states/eV per cell

# 15
The following is a DFT calculation (PBE) of an optimized crystal structure of ReNi4Pb.

Cell and atoms, written as CIF:
```
data_ReNi4Pb
_cell_length_a 6.858
_cell_length_b 6.858
_cell_length_c 6.858
_cell_angle_alpha 90.00
_cell_angle_beta 90.00
_cell_angle_gamma 90.00
_symmetry_space_group_name_H-M 'F -4 3 m'
_symmetry_Int_Tables_number 216
_symmetry_space_group_name_Hall 'F -4 2 3'
loop_
_atom_site_label
_atom_site_type_symbol
_atom_site_fract_x
_atom_site_fract_y
_atom_site_fract_z
Re1 Re 0.000 0.000 0.000
Ni1 Ni 0.126 0.126 0.626
Pb1 Pb 0.250 0.250 0.250
```

DFT formation energy   2.3 eV per formula unit
Volume   13.44 Å³ per atom
D(E_F)   20.30 states/eV per cell

# 16
The following is a DFT calculation (PBE) of an optimized crystal structure of TlP2RhCl.

Cell and atoms, written as CIF:
```
data_TlP2RhCl
_cell_length_a 5.078
_cell_length_b 5.078
_cell_length_c 5.343
_cell_angle_alpha 90.00
_cell_angle_beta 90.00
_cell_angle_gamma 90.00
_symmetry_space_group_name_H-M 'P 4/m m m'
_symmetry_Int_Tables_number 123
_symmetry_space_group_name_Hall '-P 4 2'
loop_
_atom_site_label
_atom_site_type_symbol
_atom_site_fract_x
_atom_site_fract_y
_atom_site_fract_z
Tl1 Tl 0.000 0.000 0.000
P1 P 0.000 0.500 0.000
Rh1 Rh 0.500 0.500 0.500
Cl1 Cl 0.000 0.000 0.500
```

Formation energy without anion corrections   1.484 eV/atom
Volume   27.55 Å³ per atom
D(E_F)   7.12 states/eV per cell
Energy above the most stable polymorph in this dataset   1424 meV/atom

# 17
The following is a DFT calculation (PBE) of an optimized crystal structure of Nd4Sm7Ho.

Cell and atoms, written as CIF:
```
data_Nd4Sm7Ho
_cell_length_a 16.416
_cell_length_b 6.041
_cell_length_c 9.365
_cell_angle_alpha 90.00
_cell_angle_beta 116.17
_cell_angle_gamma 90.00
_symmetry_space_group_name_H-M 'C 1 2/m 1'
_symmetry_Int_Tables_number 12
loop_
_symmetry_equiv_pos_as_xyz
'x,y,z'
'-x,-y,-z'
'-x,y,-z'
'x,-y,z'
'x+1/2,y+1/2,z'
'-x+1/2,-y+1/2,-z'
'-x+1/2,y+1/2,-z'
'x+1/2,-y+1/2,z'
loop_
_atom_site_label
_atom_site_type_symbol
_atom_site_fract_x
_atom_site_fract_y
_atom_site_fract_z
Nd1 Nd 0.075 0.000 0.201
Nd2 Nd 0.174 0.000 0.887
Sm1 Sm 0.000 0.000 0.500
Sm2 Sm 0.080 0.500 0.935
Sm3 Sm 0.207 0.500 0.724
Sm4 Sm 0.210 0.500 0.376
Ho1 Ho 0.000 0.500 0.500
```

DFT formation energy   2.6 eV per formula unit
Volume   34.73 Å³ per atom
D(E_F)   37.03 states/eV per cell
Energy above the most stable polymorph in this dataset   135 meV/atom

# 18
The following is a DFT calculation (PBE) of an optimized crystal structure of Ca2Al9Pd3.

Cell and atoms, written as CIF:
```
data_Ca2Al9Pd3
_cell_length_a 13.318
_cell_length_b 7.657
_cell_length_c 10.555
_cell_angle_alpha 90.00
_cell_angle_beta 114.91
_cell_angle_gamma 90.00
_symmetry_space_group_name_H-M 'C 1 2/c 1'
_symmetry_Int_Tables_number 15
loop_
_symmetry_equiv_pos_as_xyz
'x,y,z'
'-x,-y,-z'
'-x,y,-z+1/2'
'x,-y,z+1/2'
'x+1/2,y+1/2,z'
'-x+1/2,-y+1/2,-z'
'-x+1/2,y+1/2,-z+1/2'
'x+1/2,-y+1/2,z+1/2'
loop_
_atom_site_label
_atom_site_type_symbol
_atom_site_fract_x
_atom_site_fract_y
_atom_site_fract_z
Ca1 Ca 0.168 0.083 0.250
Al1 Al 0.000 0.375 0.250
Al2 Al 0.058 0.084 0.924
Al3 Al 0.102 0.317 0.748
Al4 Al 0.103 0.416 0.058
Al5 Al 0.225 0.417 0.426
Pd1 Pd 0.085 0.244 0.500
Pd2 Pd 0.250 0.250 0.000
```

DFT formation energy   -8.8 eV per formula unit
Volume   17.43 Å³ per atom
D(E_F)   7.49 states/eV per cell

# 19
The following is a DFT calculation (PBE) of an optimized crystal structure of KHg2RuCl8.

Cell and atoms, written as CIF:
```
data_KHg2RuCl8
_cell_length_a 6.734
_cell_length_b 7.715
_cell_length_c 8.051
_cell_angle_alpha 110.63
_cell_angle_beta 90.41
_cell_angle_gamma 99.41
_symmetry_space_group_name_H-M 'P -1'
_symmetry_Int_Tables_number 2
loop_
_symmetry_equiv_pos_as_xyz
'x,y,z'
'-x,-y,-z'
loop_
_atom_site_label
_atom_site_type_symbol
_atom_site_fract_x
_atom_site_fract_y
_atom_site_fract_z
K1 K 0.000 0.000 0.000
Hg1 Hg 0.488 0.521 0.246
Ru1 Ru 0.000 0.500 0.500
Cl1 Cl 0.190 0.651 0.773
Cl2 Cl 0.193 0.706 0.383
Cl3 Cl 0.246 0.302 0.411
Cl4 Cl 0.367 0.251 0.920
```

Formation energy without anion corrections   -0.801 eV/atom
Volume   32.10 Å³ per atom
D(E_F)   2.17 states/eV per cell

# 20
The following is a DFT calculation (PBE) of an optimized crystal structure of MnBrCl.

Cell and atoms, written as CIF:
```
data_MnBrCl
_cell_length_a 14.895
_cell_length_b 3.797
_cell_length_c 6.574
_cell_angle_alpha 90.00
_cell_angle_beta 115.16
_cell_angle_gamma 90.00
_symmetry_space_group_name_H-M 'C 1 2/m 1'
_symmetry_Int_Tables_number 12
loop_
_symmetry_equiv_pos_as_xyz
'x,y,z'
'-x,-y,-z'
'-x,y,-z'
'x,-y,z'
'x+1/2,y+1/2,z'
'-x+1/2,-y+1/2,-z'
'-x+1/2,y+1/2,-z'
'x+1/2,-y+1/2,z'
loop_
_atom_site_label
_atom_site_type_symbol
_atom_site_fract_x
_atom_site_fract_y
_atom_site_fract_z
Mn1 Mn 0.250 0.000 0.245
Br1 Br 0.135 0.500 0.307
Cl1 Cl 0.150 0.000 0.818
```

Formation energy without anion corrections   -0.933 eV/atom
Volume   28.05 Å³ per atom
D(E_F)   0.00 states/eV per cell
Energy above the most stable polymorph in this dataset   0 meV/atom